ZnHgAsO | PBE | optimized geometry

CIF file:
```
data_ZnHgAsO
_chemical_formula_sum 'Zn2 Hg2 As2 O2'
_symmetry_space_group_name_H-M 'P m c 21'
_symmetry_Int_Tables_number 26
_symmetry_space_group_name_Hall 'P 2c -2'
_cell_length_a 3.2980
_cell_length_b 7.2957
_cell_length_c 6.3099
_cell_angle_alpha 90.00
_cell_angle_beta 90.00
_cell_angle_gamma 90.00
loop_
_atom_site_label
_atom_site_type_symbol
_atom_site_fract_x
_atom_site_fract_y
_atom_site_fract_z
_atom_site_occupancy
Zn1 Zn 0.0000 0.1020 0.0000 1
Hg1 Hg 0.5000 0.3246 0.4071 1
As1 As 0.5000 0.3270 0.8314 1
O1 O 0.0000 0.1048 0.3076 1
```

Computed properties:
The value obtained for the volume is 18.98 Å³/atom. The energy above the most stable polymorph in this dataset comes out at 14 meV per atom.